8
Lattice="6.046 -2.329 0.000 6.046 2.329 0.000 -5.809 0.000 10.268" Properties=species:S:1:pos:R:3 comment="Rb2AsPt | the Open Quantum Materials Database | PBE | optimized geometry" space_group=C2/c magnetic_moment_mub_per_cell=0.007 e_tot_ev_per_atom=-3.572 pbc="T T T"
Rb 1.592 0.159 0.893
Rb -1.312 -0.159 6.027
Rb 7.596 0.159 4.241
Rb 4.692 -0.159 9.375
As 1.690 0.946 7.701
As 4.594 -0.946 2.567
Pt 4.594 1.381 2.567
Pt 1.690 -1.381 7.701